# CaPr3, optimized geometry, DFT PBE
data_CaPr3
_chemical_formula_sum 'Ca2 Pr6'
_cell_length_a 3.783
_cell_length_b 12.050
_cell_length_c 6.526
_cell_angle_alpha 90.00
_cell_angle_beta 90.00
_cell_angle_gamma 90.00
_space_group_name_H-M_alt 'I m m 2'
_space_group_IT_number 44
loop_
_space_group_symop_operation_xyz
'x,y,z'
'-x,-y,z'
'-x,y,z'
'x,-y,z'
'x+1/2,y+1/2,z+1/2'
'-x+1/2,-y+1/2,z+1/2'
'-x+1/2,y+1/2,z+1/2'
'x+1/2,-y+1/2,z+1/2'
loop_
_atom_site_label
_atom_site_type_symbol
_atom_site_fract_x
_atom_site_fract_y
_atom_site_fract_z
_atom_site_occupancy
Ca1 Ca 0.000 0.000 0.000 1
Pr1 Pr 0.000 0.245 0.660 1
Pr2 Pr 0.000 0.500 0.001 1
# N(E_F) = 1.347 states/eV/atom
# Energy relative to the elements = 0.0462 eV/atom
# Magnetization = 0.00 μB/cell